Below is an optimized crystal structure of PmHo2Sc4, with properties calculated at the PBE level.

size of the total moment	0.0	Bohr magnetons per cell
formation enthalpy at 0 K	0.058	eV/atom
SG	No. 1

Cell: 6.740 8.177 8.350 Å, 114.24 101.61 102.12°
Element x y z (fractional)
Sc (0.529, 0.566, 0.773)
Sc (0.307, 0.414, 0.040)
Pm (0.223, 0.670, 0.453)
Ho (0.132, 0.144, 0.609)
Ho (0.721, 0.672, 0.441)
Ho (0.799, 0.412, 0.028)
Pm (0.917, 0.005, 0.905)
Sc (0.421, 0.018, 0.904)
Sc (0.025, 0.566, 0.774)
Sc (0.623, 0.131, 0.599)
Sc (0.335, 0.240, 0.313)
Ho (0.444, 0.834, 0.167)
Sc (0.828, 0.241, 0.316)
Sc (0.947, 0.837, 0.180)



Below is an optimized crystal structure of CoNi9Sb2, with properties calculated at the PBE level.

size of the total moment	3.8	Bohr magnetons per cell
uncorrected formation energy	-0.07	eV/atom
SG	No. 123

Cell: 3.680 3.680 10.910 Å, 90.00 90.00 90.00°
Each line ends with the local moment (μB).
Element x y z (fractional)
Ni (0.500, 0.500, 0.330)  0.01
Ni (0.500, 0.000, 0.848)  0.39
Ni (0.500, 0.500, 0.000)  0.62
Sb (0.000, 0.000, 0.324)  0.00
Ni (0.500, 0.000, 0.500)  -0.07
Ni (0.000, 0.500, 0.848)  0.39
Ni (0.000, 0.500, 0.500)  -0.07
Ni (0.500, 0.000, 0.152)  0.39
Sb (0.000, 0.000, 0.676)  0.00
Ni (0.000, 0.500, 0.152)  0.39
Co (0.000, 0.000, 0.000)  1.87
Ni (0.500, 0.500, 0.670)  0.01



Below is an optimized crystal structure of Ba4HAu, with properties calculated at the PBE level.

size of the total moment	0.2	Bohr magnetons per cell
SG	No. 31

Cell: 7.556 7.874 9.247 Å, 90.00 90.00 90.00°
Element x y z (fractional)
Ba (0.311, 0.675, 0.500)
Ba (0.839, 0.821, 0.264)
Ba (0.346, 0.657, 0.000)
Ba (0.811, 0.325, 0.000)
Ba (0.339, 0.179, 0.236)
H (0.960, 0.663, 0.500)
Ba (0.846, 0.343, 0.500)
Au (0.576, 0.010, 0.500)
Ba (0.339, 0.179, 0.764)
H (0.460, 0.337, 0.000)
Ba (0.839, 0.821, 0.736)
Au (0.076, 0.990, 0.000)



Below is an optimized crystal structure of MgPaNi6, with properties calculated at the PBE level.

size of the total moment	0.0	Bohr magnetons per cell
formation enthalpy at 0 K	-0.323	eV/atom
SG	No. 65

Cell: 6.493 6.493 10.636 Å, 90.00 90.00 109.48°
Element x y z (fractional)
Pa (0.000, 0.000, 0.486)
Ni (0.625, 0.873, 0.623)
Ni (0.873, 0.625, 0.877)
Pa (0.748, 0.252, 0.750)
Ni (0.380, 0.127, 0.127)
Ni (0.620, 0.873, 0.373)
Mg (0.248, 0.752, 0.250)
Pa (0.000, 0.000, 0.014)
Ni (0.500, 0.500, 0.250)
Ni (0.252, 0.748, 0.499)
Mg (0.500, 0.500, 0.495)
Mg (0.752, 0.248, 0.250)
Ni (0.748, 0.252, 0.001)
Ni (0.127, 0.375, 0.623)
Pa (0.252, 0.748, 0.750)
Ni (0.252, 0.748, 0.001)
Mg (0.500, 0.500, 0.005)
Ni (0.500, 0.500, 0.750)
Ni (0.375, 0.127, 0.623)
Ni (0.873, 0.620, 0.127)
Ni (0.873, 0.620, 0.373)
Ni (0.000, 0.000, 0.250)
Ni (0.127, 0.380, 0.127)
Ni (0.127, 0.375, 0.877)
Ni (0.620, 0.873, 0.127)
Ni (0.375, 0.127, 0.877)
Ni (0.625, 0.873, 0.877)
Ni (0.000, 0.000, 0.750)
Ni (0.748, 0.252, 0.499)
Ni (0.380, 0.127, 0.373)
Ni (0.873, 0.625, 0.623)
Ni (0.127, 0.380, 0.373)



Below is an optimized crystal structure of Be2Pt, with properties calculated at the PBE level.

size of the total moment	0.0	Bohr magnetons per cell
formation enthalpy at 0 K	-0.523	eV/atom
SG	No. 141

Cell: 11.102 11.102 11.102 Å, 162.07 162.07 25.47°
Element x y z (fractional)
Pt (0.074, 0.074, 0.000)
Be (0.414, 0.414, 0.000)
Pt (0.176, 0.676, 0.500)
Be (0.249, 0.249, 0.000)
Be (0.751, 0.751, 0.000)
Pt (0.926, 0.926, 0.000)
Be (0.836, 0.336, 0.500)
Be (0.001, 0.501, 0.500)
Be (0.664, 0.164, 0.500)
Be (0.586, 0.586, 0.000)
Pt (0.324, 0.824, 0.500)
Be (0.499, 0.999, 0.500)



Below is an optimized crystal structure of Ca3Hg2N, with properties calculated at the PBE level.

size of the total moment	0.0	Bohr magnetons per cell
uncorrected formation energy	-0.59	eV/atom
SG	No. 63

Cell: 6.663 6.975 6.975 Å, 102.37 90.00 90.00°
Element x y z (fractional)
Ca (0.500, 0.142, 0.858)
Hg (0.250, 0.192, 0.468)
Ca (0.000, 0.142, 0.858)
Ca (0.500, 0.858, 0.142)
Hg (0.250, 0.468, 0.192)
Ca (0.750, 0.329, 0.329)
N (0.750, 0.072, 0.072)
Hg (0.750, 0.808, 0.532)
Ca (0.250, 0.671, 0.671)
N (0.250, 0.928, 0.928)
Hg (0.750, 0.532, 0.808)
Ca (0.000, 0.858, 0.142)



Below is an optimized crystal structure of GaFe3Si, with properties calculated at the PBE level.

size of the total moment	7.8	Bohr magnetons per cell
uncorrected formation energy	1.10	eV/atom
SG	No. 221

Cell: 4.464 4.464 4.464 Å, 90.00 90.00 90.00°
Each line ends with the local moment (μB).
Element x y z (fractional)
Ga (0.000, 0.000, 0.000)  -0.15
Si (0.500, 0.500, 0.500)  -0.01
Fe (0.000, 0.500, 0.000)  2.65
Fe (0.000, 0.000, 0.500)  2.85
Fe (0.500, 0.000, 0.000)  2.48



Below is an optimized crystal structure of YAs3Pd, with properties calculated at the PBE level.

size of the total moment	0.0	Bohr magnetons per cell
formation enthalpy at 0 K	-0.091	eV/atom
SG	No. 221

Cell: 4.892 4.892 4.892 Å, 90.00 90.00 90.00°
Element x y z (fractional)
As (0.500, 0.000, 0.000)
Y (0.500, 0.500, 0.500)
Pd (0.000, 0.000, 0.000)
As (0.000, 0.000, 0.500)
As (0.000, 0.500, 0.000)



Results for total energy: -5.55 -5.69 -2.76 -6.05 -5.02 -3.08 -5.66 -5.21 (in eV/atom, following the order of the records).